A plane-wave DFT calculation with PBE was carried out for TlW2Br after structural relaxation.

Calculated values
Polymorph energy (0 for the lowest one) (eV per atom): 0.800
Crystal system: monoclinic
Uncorrected energy (eV per atom): -6.2408
Magnetization (μB/f.u.): 0.0
D(E_F) (states/eV per atom): 0.80
V (Å³ per cell): 150.9
E_form (uncorrected) (eV per atom): 1.246

Unit cell a=9.885 b=2.975 c=5.299 alpha=90.00 beta=104.46 gamma=90.00
Space group C2/m (No. 12)
One atom of each set of equivalent atoms:
Tl (0.000, 0.000, 0.000) x2
W (0.248, 0.000, 0.745) x4
Br (0.000, 0.500, 0.500) x2



A plane-wave DFT calculation with PBE was carried out for TlW2Br after structural relaxation.

Calculated values
Polymorph energy (0 for the lowest one) (eV per atom): 0.816
Crystal system: monoclinic
Uncorrected energy (eV per atom): -6.2240
Magnetization (μB/f.u.): 0.0
D(E_F) (states/eV per atom): 0.98
V (Å³ per cell): 75.5
E_form (uncorrected) (eV per atom): 1.262

Unit cell a=5.000 b=2.981 c=5.295 alpha=90.00 beta=107.06 gamma=90.00
Space group P2/m (No. 10)
One atom of each set of equivalent atoms:
Tl (0.000, 0.000, 0.000) x1
W (0.500, 0.000, 0.500) x1
W (0.500, 0.500, 0.000) x1
Br (0.000, 0.500, 0.500) x1